The following is a GGA+U calculation of a relaxed structure of RbScMoO2, from the Alexandria database.

Cell lengths 4.796, 4.796, 5.286 Å; angles 90.00, 90.00, 90.00 degrees
Space group P4/mmm (No. 123)
Asymmetric unit:
Rb 0.000 0.000 0.000
Sc 0.500 0.500 0.500
Mo 0.000 0.000 0.500
O 0.000 0.500 0.000

Values from the calculation:
Electronic total energy, eV/atom: -3.726


The following is a GGA+U calculation of a relaxed structure of RbMoSe2O8, from the Alexandria database.

Cell lengths 5.5144, 5.5144, 23.0362 Å; angles 90.00, 90.00, 120.00 degrees
Space group R-3 (No. 148, hexagonal axes)
Asymmetric unit:
Rb 0.0000 0.0000 0.0000
Mo 0.0000 0.0000 0.5000
Se 0.0000 0.0000 0.2265
O 0.0000 0.0000 0.2976
O 0.0151 0.7171 0.4515

Values from the calculation:
Electronic total energy, eV/atom: -5.552


The following is a GGA+U calculation of a relaxed structure of Rb2Mo3SeO12, from the Alexandria database.

Cell lengths 7.3888, 7.3888, 12.5209 Å; angles 90.00, 90.00, 120.00 degrees
Space group P6_3 (No. 173)
Asymmetric unit:
Rb 0.3333 0.6667 0.0000
Rb 0.3333 0.6667 0.3896
Mo 0.1409 0.3393 0.6699
Se 0.0000 0.0000 0.4436
O 0.0863 0.5469 0.6247
O 0.1201 0.8723 0.5011
O 0.1219 0.2507 0.1818
O 0.1995 0.4045 0.8042

Values from the calculation:
Electronic total energy, eV/atom: -6.373


The following is a GGA+U calculation of a relaxed structure of RbSiMoO6, from the Alexandria database.

Cell lengths 5.0834, 5.0834, 6.2764 Å; angles 90.00, 90.00, 120.00 degrees
Space group P312 (No. 149)
Asymmetric unit:
Rb 0.0000 0.0000 0.0000
Si 0.6667 0.3333 0.5000
Mo 0.3333 0.6667 0.5000
O 0.4071 0.0207 0.6646

Values from the calculation:
Electronic total energy, eV/atom: -6.549


The following is a GGA+U calculation of a relaxed structure of Rb2Si2MoO6, from the Alexandria database.

Cell lengths 5.7166, 5.7166, 17.1748 Å; angles 90.00, 90.00, 120.00 degrees
Space group R-3m (No. 166, hexagonal axes)
Asymmetric unit:
Rb 0.0000 0.0000 0.2218
Si 0.0000 0.0000 0.4306
Mo 0.0000 0.0000 0.0000
O 0.0147 0.5074 0.2648

Values from the calculation:
Electronic total energy, eV/atom: -6.570


The following is a GGA+U calculation of a relaxed structure of Rb2SmMo3O12, from the Alexandria database.

Cell lengths 7.5289, 7.5289, 18.8919 Å; angles 90.00, 90.00, 120.00 degrees
Space group R-3m (No. 166, hexagonal axes)
Asymmetric unit:
Rb 0.0000 0.0000 0.1322
Sm 0.0000 0.0000 0.5000
Mo 0.0000 0.5000 0.0000
O 0.0344 0.5172 0.0995
O 0.0909 0.5454 0.3419

Values from the calculation:
Electronic total energy, eV/atom: -6.679